DFT (PBE) results for an optimized crystal structure of MgHgPO2.

Geometry as extended XYZ:
```
5
Lattice="4.1778 0.0000 0.0000 0.0000 4.1778 0.0000 0.0000 0.0000 5.1098" Properties=species:S:1:pos:R:3 pbc="T T T"
Mg 0.0000 0.0000 0.0000
Hg 2.0889 2.0889 2.5549
P 2.0889 2.0889 0.0000
O 0.0000 2.0889 2.5549
O 2.0889 0.0000 2.5549
```

## Properties
The value obtained for the formation energy from raw total energies is 35.48 kJ/mol of atoms. The space group is P4/mmm. As for the energy above the most stable polymorph in this dataset: 2.92 eV/f.u. Its total magnetization is 1.0 μB per cell. As for the crystal system: tetragonal. Its calculated volume is 89.2 Å³/f.u.



DFT (PBE) results for an optimized crystal structure of Mg2TcBr.

Geometry as extended XYZ:
```
4
Lattice="1.6403 -2.7177 0.0000 1.6403 2.7177 0.0000 0.0000 0.0000 9.1822" Properties=species:S:1:pos:R:3 pbc="T T T"
Mg 0.0000 0.0000 0.0000
Mg 1.6403 0.0000 2.6168
Tc 0.0000 0.0000 4.7750
Br 1.6403 0.0000 6.9411
```

## Properties
The value obtained for the formation energy from raw total energies is 36.47 kJ/mol of atoms. The space group is Cmm2. As for the energy above the most stable polymorph in this dataset: 1.63 eV/f.u. Its total magnetization is 1.7 μB per cell. As for the crystal system: orthorhombic. Its calculated volume is 81.9 Å³/f.u.



DFT (PBE) results for an optimized crystal structure of Ir2PtPb.

Geometry as extended XYZ:
```
4
Lattice="-2.0912 2.0912 3.8611 2.0912 -2.0912 3.8611 2.0912 2.0912 -3.8611" Properties=species:S:1:pos:R:3 pbc="T T T"
Ir 2.0912 0.0000 1.9305
Ir 0.0000 2.0912 1.9305
Pt 0.0000 0.0000 0.0000
Pb 0.0000 0.0000 3.8611
```

## Properties
The formation energy from the elements comes out at 1.55 eV per formula unit. The space group is I4/mmm. Its total magnetization is 0.0 μB per cell. As for the crystal system: tetragonal. Its calculated volume is 67.5 Å³/f.u.



DFT (PBE) results for an optimized crystal structure of ReC2.

Geometry as extended XYZ:
```
6
Lattice="1.4671 -4.0499 0.0000 1.4671 4.0499 0.0000 0.0000 0.0000 5.0113" Properties=species:S:1:pos:R:3 pbc="T T T"
Re 1.4671 2.3205 3.7584
Re 1.4671 -2.3205 1.2528
C 1.4671 0.7025 0.0773
C 1.4671 0.7025 2.4283
C 1.4671 -0.7025 2.5830
C 1.4671 -0.7025 4.9339
```

## Properties
The formation energy from the elements comes out at 1.99 eV per formula unit. The space group is Cmcm. As for the energy above the most stable polymorph in this dataset: 0.67 eV/f.u. Its total magnetization is 0.0 μB per cell. As for the crystal system: orthorhombic. Its calculated volume is 29.8 Å³/f.u.